Record 1
## ScCuPt2 (PBE)

Data for a relaxed structure of ScCuPt2.

Summary:
Space-group type   Pmmm
DFT formation energy   -79.9 kJ/mol of atoms
M_tot   0.00 μB per atom

Lattice parameters (Å, degrees): 3.038 3.607 5.729 90.00 90.00 90.00
Sites, in units of the cell vectors:
Sc  0.500  0.500  0.250
Cu  0.500  0.500  0.750
Pt  0.000  0.000  0.989
Pt  0.000  0.000  0.511


Record 2
## InPt2W (PBE)

Data for a relaxed structure of InPt2W.

Summary:
Space-group type   Pmmm
DFT formation energy   16.5 kJ/mol of atoms
M_tot   0.00 μB per atom

Lattice parameters (Å, degrees): 2.953 4.884 4.717 90.00 90.00 90.00
Sites, in units of the cell vectors:
Pt  0.500  0.500  0.000
Pt  0.000  0.000  0.000
W  0.500  0.000  0.500
In  0.000  0.500  0.500


Record 3
## MgCr2Ag (PBE)

Data for a relaxed structure of MgCr2Ag.

Summary:
Space-group type   Cmmm
DFT formation energy   59.9 kJ/mol of atoms
M_tot   0.00 μB per atom

Lattice parameters (Å, degrees): 5.138 5.138 2.613 90.00 90.00 121.75
Sites, in units of the cell vectors:
Mg  0.500  0.000  0.500
Cr  0.500  0.500  0.000
Cr  0.000  0.000  0.000
Ag  0.000  0.500  0.500


Record 4
## LiYBeIn (PBE)

Data for a relaxed structure of LiYBeIn.

Summary:
Space-group type   F-43m
DFT formation energy   -15.1 kJ/mol of atoms
M_tot   0.00 μB per atom

Lattice parameters (Å, degrees): 4.671 4.671 4.671 60.00 60.00 60.00
Sites, in units of the cell vectors:
In  0.500  0.500  0.500
Li  0.250  0.250  0.250
Be  0.750  0.750  0.750
Y  0.000  0.000  0.000